Record 1
## GaAgAuF6 (PBE)

Data for an optimized crystal structure of GaAgAuF6.

Cell lengths 5.070, 5.070, 10.476 Å; angles 90.00, 90.00, 90.00 degrees
Element x y z (fractional)
Ga1 0.000 0.000 0.000
Ga2 0.500 0.500 0.500
Ag1 0.000 0.000 0.340
Ag2 0.500 0.500 0.840
Au1 0.000 0.000 0.661
Au2 0.500 0.500 0.161
F1 0.182 0.182 0.863
F2 0.191 0.191 0.142
F3 0.239 0.239 0.504
F4 0.261 0.739 0.004
F5 0.309 0.691 0.642
F6 0.318 0.682 0.363
F7 0.682 0.318 0.363
F8 0.691 0.309 0.642
F9 0.739 0.261 0.004
F10 0.761 0.761 0.504
F11 0.809 0.809 0.142
F12 0.818 0.818 0.863

* E_form (uncorrected): -14.47 eV per formula unit
* ρ: 6.026 g/cm³
* uncorrected energy: -0.14233 Ha/atom
* total moment: 1.0 μB/f.u.
* space-group type: P4_2nm, No. 102

Record 2
## AgHAuF6 (PBE)

Data for an optimized crystal structure of AgHAuF6.

Cell lengths 5.013, 5.303, 5.450 Å; angles 109.80, 93.56, 95.45 degrees
Element x y z (fractional)
Ag1 0.000 0.000 0.000
H1 0.510 0.168 0.840
Au1 0.496 0.675 0.329
F1 0.239 0.688 0.041
F2 0.255 0.379 0.361
F3 0.287 0.066 0.748
F4 0.718 0.263 0.923
F5 0.742 0.979 0.298
F6 0.748 0.655 0.608

* ρ: 5.163 g/cm³
* uncorrected energy: -0.12776 Ha/atom
* total moment: 1.1 μB/f.u.
* space-group type: P1, No. 1

Record 3
## HfAgAuF6 (PBE)

Data for an optimized crystal structure of HfAgAuF6.

Cell lengths 6.152, 6.152, 9.398 Å; angles 90.00, 90.00, 120.00 degrees
Element x y z (fractional)
Hf1 0.333 0.667 0.250
Hf2 0.667 0.333 0.750
Ag1 0.333 0.667 0.750
Ag2 0.667 0.333 0.250
Au1 0.000 0.000 0.000
Au2 0.000 0.000 0.500
F1 0.061 0.394 0.131
F2 0.061 0.666 0.369
F3 0.334 0.394 0.369
F4 0.334 0.939 0.131
F5 0.394 0.061 0.631
F6 0.394 0.334 0.869
F7 0.606 0.666 0.131
F8 0.606 0.939 0.369
F9 0.666 0.061 0.869
F10 0.666 0.606 0.631
F11 0.939 0.334 0.631
F12 0.939 0.606 0.869

* E_form (uncorrected): -21.24 eV per formula unit
* ρ: 6.439 g/cm³
* uncorrected energy: -0.19823 Ha/atom
* total moment: 0.1 μB/f.u.
* space-group type: P-31c, No. 163

Record 4
## K4Ag3AuF12 (PBE)

Data for an optimized crystal structure of K4Ag3AuF12.

Cell lengths 7.659, 7.659, 7.659 Å; angles 109.47, 109.47, 109.47 degrees
Element x y z (fractional)
K1 0.000 0.000 0.500
K2 0.000 0.500 0.000
K3 0.500 0.000 0.000
K4 0.500 0.500 0.500
Ag1 0.000 0.500 0.500
Ag2 0.500 0.000 0.500
Ag3 0.500 0.500 0.000
Au1 0.000 0.000 0.000
F1 0.000 0.245 0.245
F2 0.000 0.755 0.755
F3 0.245 0.000 0.245
F4 0.245 0.245 0.000
F5 0.250 0.500 0.750
F6 0.250 0.750 0.500
F7 0.500 0.250 0.750
F8 0.500 0.750 0.250
F9 0.750 0.250 0.500
F10 0.750 0.500 0.250
F11 0.755 0.000 0.755
F12 0.755 0.755 0.000

* E_form (uncorrected): -36.31 eV per formula unit
* ρ: 4.344 g/cm³
* uncorrected energy: -0.13778 Ha/atom
* total moment: 0.0 μB/f.u.
* space-group type: Im-3m, No. 229

Record 5
## KAgAuF6 (PBE)

Data for an optimized crystal structure of KAgAuF6.

Cell lengths 4.175, 6.319, 6.757 Å; angles 68.59, 87.30, 86.68 degrees
Element x y z (fractional)
K1 0.000 0.000 0.000
Ag1 0.445 0.363 0.287
Au1 0.470 0.684 0.663
F1 0.148 0.936 0.610
F2 0.375 0.650 0.390
F3 0.480 0.122 0.149
F4 0.550 0.725 0.930
F5 0.792 0.431 0.717
F6 0.946 0.372 0.274

* E_form (uncorrected): -13.65 eV per formula unit
* ρ: 4.591 g/cm³
* uncorrected energy: -0.13109 Ha/atom
* total moment: 0.0 μB/f.u.
* space-group type: P1, No. 1

Record 6
## KAgAu2F8 (PBE)

Data for an optimized crystal structure of KAgAu2F8.

Cell lengths 6.889, 6.889, 6.889 Å; angles 128.27, 128.27, 76.19 degrees
Element x y z (fractional)
K1 0.000 0.000 0.000
Ag1 0.250 0.750 0.500
Au1 0.500 0.500 0.000
Au2 0.750 0.250 0.500
F1 0.034 0.406 0.952
F2 0.196 0.403 0.587
F3 0.390 0.804 0.207
F4 0.453 0.082 0.048
F5 0.594 0.547 0.628
F6 0.597 0.183 0.793
F7 0.817 0.610 0.413
F8 0.918 0.966 0.372

* E_form (uncorrected): -16.80 eV per formula unit
* ρ: 5.873 g/cm³
* uncorrected energy: -0.12946 Ha/atom
* total moment: 0.1 μB/f.u.
* space-group type: I-4, No. 82

Record 7
## K8AgAu2F (PBE)

Data for an optimized crystal structure of K8AgAu2F.

Cell lengths 7.392, 8.060, 8.630 Å; angles 91.15, 101.00, 93.65 degrees
Element x y z (fractional)
K1 0.164 0.224 0.420
K2 0.239 0.708 0.325
K3 0.268 0.109 0.969
K4 0.286 0.586 0.752
K5 0.714 0.414 0.248
K6 0.732 0.891 0.031
K7 0.761 0.292 0.675
K8 0.836 0.776 0.580
Ag1 0.000 0.500 0.000
Au1 0.447 0.961 0.648
Au2 0.553 0.039 0.352
F1 0.000 0.500 0.500

* E_form (uncorrected): -6.13 eV per formula unit
* ρ: 2.749 g/cm³
* uncorrected energy: -0.08021 Ha/atom
* total moment: 0.0 μB/f.u.
* space-group type: P-1, No. 2

Record 8
## KAg2AuF (PBE)

Data for an optimized crystal structure of KAg2AuF.

Cell lengths 4.588, 4.588, 6.359 Å; angles 90.00, 90.00, 90.00 degrees
Element x y z (fractional)
K1 0.000 0.000 0.000
Ag1 0.000 0.500 0.500
Ag2 0.500 0.000 0.500
Au1 0.500 0.500 0.000
F1 0.500 0.500 0.500

* E_form (uncorrected): -0.75 eV per formula unit
* ρ: 5.841 g/cm³
* uncorrected energy: -0.09331 Ha/atom
* total moment: 0.0 μB/f.u.
* space-group type: P4/mmm, No. 123

> What is the formula in the first record?

GaAgAuF6

> total moment of number 7 (K8AgAu2F)?

0.0 μB/f.u.

> Which formula does entry 3 have?

HfAgAuF6